Entry 1:
La3Cd2Co2 | PBE | relaxed

Lattice parameters (Å, degrees): 5.742 5.742 9.326 68.28 68.28 43.30
Positions (direct):
1 La 0.379 0.379 0.723
2 La 0.621 0.621 0.277
3 La 0.000 0.000 0.000
4 Cd 0.858 0.858 0.432
5 Cd 0.142 0.142 0.568
6 Co 0.282 0.282 0.010
7 Co 0.718 0.718 0.990

## Properties
For the energy, the calculation gives -31.63 eV per formula unit.

Entry 2:
Ac2TbCeSe6 | PBE | relaxed

Lattice parameters (Å, degrees): 7.654 7.653 7.961 61.27 61.27 60.00
Each line ends with the local moment (μB).
Positions (direct):
1 Ac 0.025 0.025 0.926  0.00
2 Ac 0.526 0.526 0.423  0.00
3 Tb 0.317 0.317 0.048  0.00
4 Se 0.441 0.687 0.763  -0.01
5 Se 0.108 0.441 0.763  -0.01
6 Se 0.687 0.108 0.763  -0.01
7 Se 0.951 0.598 0.259  -0.01
8 Se 0.598 0.192 0.259  -0.01
9 Se 0.192 0.951 0.259  -0.01
10 Ce 0.816 0.816 0.552  0.96

## Properties
As for the energy relative to the elements, uncorrected: -1.8917 eV/atom.

Entry 3:
CaZrSeN2 | PBE | relaxed

Lattice parameters (Å, degrees): 4.200 4.200 5.563 90.00 90.00 90.00
Each line ends with the local moment (μB).
Positions (direct):
1 N 0.000 0.500 0.000  0.22
2 N 0.500 0.000 0.000  0.22
3 Se 0.000 0.000 0.500  0.01
4 Zr 0.000 0.000 0.000  -0.05
5 Ca 0.500 0.500 0.500  0.00

## Properties
Its energy above the lowest structure with this stoichiometry is 0 meV per atom. As for the energy relative to the elements, uncorrected: -0.5504 eV/atom.

Entry 4:
Tb3CrS6 | PBE | relaxed

Lattice parameters (Å, degrees): 6.583 8.471 8.471 102.02 90.00 90.00
Each line ends with the local moment (μB).
Positions (direct):
1 Cr 0.516 0.806 0.194  2.72
2 Cr 0.016 0.194 0.806  2.72
3 S 0.189 0.689 0.635  0.00
4 S 0.669 0.220 0.780  -0.04
5 S 0.692 0.900 0.423  -0.04
6 S 0.181 0.039 0.961  -0.04
7 S 0.689 0.635 0.689  0.00
8 S 0.189 0.365 0.311  0.00
9 S 0.692 0.577 0.100  -0.04
10 S 0.192 0.100 0.577  -0.04
11 S 0.169 0.780 0.220  -0.04
12 S 0.192 0.423 0.900  -0.04
13 S 0.681 0.961 0.039  -0.04
14 S 0.689 0.311 0.365  0.00
15 Tb 0.980 0.716 0.917  0.05
16 Tb 0.480 0.917 0.716  0.05
17 Tb 0.897 0.600 0.400  0.02
18 Tb 0.397 0.400 0.600  0.02
19 Tb 0.980 0.083 0.284  0.05
20 Tb 0.480 0.284 0.083  0.05

## Properties
Its energy above the lowest structure with this stoichiometry is 99 meV per atom. As for the energy relative to the elements, uncorrected: -1.6387 eV/atom.

Entry 5:
Zn2Si2Se | PBE | relaxed

Lattice parameters (Å, degrees): 7.533 7.533 7.533 153.18 153.18 38.30
Positions (direct):
1 Si 0.250 0.750 0.500
2 Si 0.750 0.250 0.500
3 Zn 0.596 0.596 0.000
4 Zn 0.404 0.404 0.000
5 Se 0.000 0.000 0.000

## Properties
Its energy above the lowest structure with this stoichiometry is 0 meV per atom. As for the energy relative to the elements, uncorrected: 0.1717 eV/atom.

Entry 6:
V8P3C2 | PBE | relaxed

Lattice parameters (Å, degrees): 5.139 5.845 6.764 115.60 109.64 90.00
Positions (direct):
1 P 0.000 0.312 0.000
2 P 0.000 0.688 0.000
3 P 0.500 0.000 0.000
4 V 0.955 0.112 0.224
5 V 0.463 0.906 0.288
6 V 0.025 0.321 0.642
7 V 0.537 0.094 0.712
8 V 0.537 0.618 0.712
9 V 0.463 0.382 0.288
10 V 0.045 0.888 0.776
11 V 0.975 0.679 0.358
12 C 0.343 0.245 0.489
13 C 0.657 0.755 0.511

## Properties
For the energy, the calculation gives -110.31 eV per formula unit.

Magnetic moment? In order: 0.0000 0.1004 0.1190 0.3000 0.0000 0.0000 μB/atom.
Fermi-level density of states? In order: 5.9 4.7 3.1 3.0 1.8 9.4 states/eV/cell.